1.
A plane-wave DFT calculation with PBE was carried out for a geometry-optimized NaGdTc structure.

The space group is F-43m (No. 216) and the conventional cell measures 6.640, 6.640 and 6.640 Å, with angles of 90.00, 90.00 and 90.00 degrees. The inequivalent atoms are Na at (0.000, 0.000, 0.000), Gd at (0.250, 0.250, 0.750) and Tc at (0.250, 0.250, 0.250).

=====

2.
A plane-wave DFT calculation with PBE was carried out for a geometry-optimized BeFeSnPb structure.

The space group is F-43m (No. 216) and the conventional cell measures 6.705, 6.705 and 6.705 Å, with angles of 90.00, 90.00 and 90.00 degrees. The inequivalent atoms are Be at (0.000, 0.000, 0.000), Fe at (0.000, 0.000, 0.500), Sn at (0.250, 0.250, 0.750) and Pb at (0.250, 0.250, 0.250).

=====

3.
A plane-wave DFT calculation with PBE was carried out for a geometry-optimized SrPmB4 structure.

The space group is P6/mmm (No. 191) and the conventional cell measures 3.3336, 3.3336 and 8.4280 Å, with angles of 90.00, 90.00 and 120.00 degrees. The inequivalent atoms are Sr at (0.0000, 0.0000, 0.0000), Pm at (0.0000, 0.0000, 0.5000) and B at (0.3333, 0.6667, 0.2615).

=====

Mass density, record by record: 6.31 8.61 5.65 g/cm³
Offset from the most stable computed form, record by record: 0.0000 0.0000 0.1442 eV per atom
Volume, record by record: 292.7 301.4 81.1 Å³ per cell